## PaInGePt (GGA-PBE)

Data for crystalline PaInGePt at its relaxed geometry.

Results
The value obtained for the calculated total energy is -6.173 eV/atom.

Lattice parameters (Å, degrees): 6.9312 6.9312 6.9312 90.00 90.00 90.00
Space group F-43m (No. 216)
Inequivalent atoms, fractional coordinates:
Pa  0.0000  0.0000  0.0000 (multiplicity 4)
In  0.0000  0.0000  0.5000 (multiplicity 4)
Ge  0.2500  0.2500  0.2500 (multiplicity 4)
Pt  0.2500  0.2500  0.7500 (multiplicity 4)